[1]
First-principles (meta-GGA SCAN) data for ZrSc2Cd at its PBEsol-relaxed geometry, as listed in Alexandria via LeMat-Bulk.

Structure (POSCAR):
```
ZrSc2Cd
1.0
4.4146 0.0000 0.0000
0.0000 4.4146 0.0000
-2.2073 -2.2073 4.3998
Cd Zr Sc
1 1 2
direct
0.0000 0.0000 0.0000
0.5000 0.5000 0.0000
0.7500 0.2500 0.5000
0.2500 0.7500 0.5000
```

Properties
DOS at the Fermi energy: 1.598 states/eV/atom
ΔH_f (0 K): -9 kJ/mol of atoms
magnetic moment: 0.0 μB/cell
uncorrected energy: -22.4902 eV/atom
energy above the most stable polymorph in this dataset: 118 meV per atom
symmetry: No. 139
ρ: 5.68 Mg/m³

---

[2]
First-principles (meta-GGA SCAN) data for KAl4Fe at its PBEsol-relaxed geometry, as listed in Alexandria via LeMat-Bulk.

Structure (POSCAR):
```
KAl4Fe
1.0
5.4205 0.0000 0.0000
2.7102 4.6943 0.0000
2.7102 1.5648 4.4258
Fe Al K
1 4 1
direct
0.7500 0.7500 0.7500
0.3752 0.8743 0.3752
0.3752 0.3752 0.8743
0.3752 0.3752 0.3752
0.8743 0.3752 0.3752
0.0000 0.0000 0.0000
```

Properties
DOS at the Fermi energy: 0.802 states/eV/atom
ΔH_f (0 K): 43 kJ/mol of atoms
magnetic moment: 2.7 μB/cell
uncorrected energy: -9.1323 eV/atom
symmetry: No. 216
ρ: 2.99 Mg/m³

---

[3]
First-principles (meta-GGA SCAN) data for La3HfAl at its PBEsol-relaxed geometry, as listed in Alexandria via LeMat-Bulk.

Structure (POSCAR):
```
La3HfAl
1.0
-2.8996 -4.7567 0.7899
2.6362 -0.7921 4.9072
-4.0374 2.8990 2.6369
La Al Hf
3 1 1
direct
0.5000 0.0000 0.0000
0.0000 0.0000 0.5000
0.0000 0.5000 0.0000
0.0000 0.0000 0.0000
0.5000 0.5000 0.5000
```

Properties
DOS at the Fermi energy: 1.663 states/eV/atom
ΔH_f (0 K): 71 kJ/mol of atoms
magnetic moment: 4.1 μB/cell
uncorrected energy: -39.2162 eV/atom
symmetry: No. 221
ρ: 5.80 Mg/m³

---

[4]
First-principles (meta-GGA SCAN) data for Ho3B7W at its PBEsol-relaxed geometry, as listed in Alexandria via LeMat-Bulk.

Structure (POSCAR):
```
Ho3B7W
1.0
-3.1343 0.9498 0.9810
0.3602 -7.6410 2.5912
3.4661 2.9502 8.2176
Ho W B
6 2 14
direct
0.1069 0.2139 0.0598
0.8931 0.7861 0.5598
0.1069 0.2139 0.4402
0.8931 0.7861 0.9402
0.7557 0.5113 0.2500
0.2443 0.4887 0.7500
0.0532 0.1063 0.7500
0.9468 0.8937 0.2500
0.4543 0.9086 0.7500
0.4806 0.9611 0.0915
0.5194 0.0389 0.9085
0.2723 0.5445 0.4674
0.6351 0.2703 0.6472
0.5457 0.0914 0.2500
0.4806 0.9611 0.4085
0.5194 0.0389 0.5915
0.7277 0.4555 0.5326
0.3649 0.7297 0.1472
0.7277 0.4555 0.9674
0.2723 0.5445 0.0326
0.6351 0.2703 0.8528
0.3649 0.7297 0.3528
```

Properties
DOS at the Fermi energy: 0.151 states/eV/atom
ΔH_f (0 K): -64 kJ/mol of atoms
magnetic moment: 0.0 μB/cell
uncorrected energy: -25.0819 eV/atom
symmetry: No. 63
ρ: 9.88 Mg/m³

---

[5]
First-principles (meta-GGA SCAN) data for SrZr2Hg at its PBEsol-relaxed geometry, as listed in Alexandria via LeMat-Bulk.

Structure (POSCAR):
```
SrZr2Hg
1.0
-0.8805 0.5196 -3.0316
-5.0980 -1.0271 1.5333
2.2243 5.8018 1.9223
Hg Sr Zr
1 1 2
direct
0.5000 0.0000 0.0000
0.0000 0.5000 0.0000
0.5000 0.5000 0.5000
0.0000 0.0000 0.5000
```

Properties
DOS at the Fermi energy: 1.188 states/eV/atom
ΔH_f (0 K): 21 kJ/mol of atoms
magnetic moment: 0.0 μB/cell
uncorrected energy: -37.7373 eV/atom
symmetry: No. 12
ρ: 7.88 Mg/m³

---

[6]
First-principles (meta-GGA SCAN) data for LaCdCu at its PBEsol-relaxed geometry, as listed in Alexandria via LeMat-Bulk.

Structure (POSCAR):
```
LaCdCu
1.0
-1.0703 2.6883 -2.0183
1.7629 -2.1487 -3.7969
-4.4517 -0.7967 1.2996
Cu La Cd
1 1 1
direct
0.0000 0.3333 0.6667
0.5000 0.6667 0.3333
0.0000 0.0000 0.0000
```

Properties
DOS at the Fermi energy: 0.384 states/eV/atom
ΔH_f (0 K): -27 kJ/mol of atoms
magnetic moment: 0.0 μB/cell
uncorrected energy: -29.8506 eV/atom
symmetry: No. 187
ρ: 7.73 Mg/m³

---

[7]
First-principles (meta-GGA SCAN) data for Mg2TlCd at its PBEsol-relaxed geometry, as listed in Alexandria via LeMat-Bulk.

Structure (POSCAR):
```
Mg2TlCd
1.0
4.3686 0.0000 0.0000
0.0000 4.3686 0.0000
-2.1843 -2.1843 4.7074
Mg Tl Cd
2 1 1
direct
0.0000 0.0000 0.0000
0.7500 0.2500 0.5000
0.5000 0.5000 0.0000
0.2500 0.7500 0.5000
```

Properties
DOS at the Fermi energy: 0.306 states/eV/atom
ΔH_f (0 K): -10 kJ/mol of atoms
magnetic moment: 0.0 μB/cell
uncorrected energy: -28.2836 eV/atom
symmetry: No. 119
ρ: 6.75 Mg/m³

---

[8]
First-principles (meta-GGA SCAN) data for Ba3CuRu2O9 at its PBEsol-relaxed geometry, as listed in Alexandria via LeMat-Bulk.

Structure (POSCAR):
```
Ba3CuRu2O9
1.0
-2.8804 3.9789 2.8160
2.9063 -4.0463 2.9979
11.4783 8.2777 0.0449
O Ru Cu Ba
18 4 2 6
direct
0.4951 0.9903 0.7500
0.5049 0.0097 0.2500
0.1992 0.3983 0.0809
0.8176 0.1263 0.9104
0.8008 0.6017 0.9191
0.3087 0.1263 0.5896
0.1824 0.8737 0.4104
0.9466 0.4410 0.7500
0.6913 0.8737 0.4104
0.5056 0.5590 0.2500
0.3087 0.1263 0.9104
0.1992 0.3983 0.4191
0.8176 0.1263 0.5896
0.0534 0.5590 0.2500
0.6913 0.8737 0.0896
0.1824 0.8737 0.0896
0.4944 0.4410 0.7500
0.8008 0.6017 0.5809
0.3547 0.7093 0.3477
0.6453 0.2907 0.6523
0.3547 0.7093 0.1523
0.6453 0.2907 0.8477
0.0000 0.0000 0.5000
0.0000 0.0000 0.0000
0.3193 0.6385 0.9050
0.9783 0.9565 0.7500
0.6807 0.3615 0.0950
0.3193 0.6385 0.5950
0.6807 0.3615 0.4050
0.0217 0.0435 0.2500
```

Properties
magnetic moment: 10.0 μB/cell
uncorrected energy: -19.2990 eV/atom
symmetry: No. 63
ρ: 6.71 Mg/m³
energy relative to the elements, uncorrected: -1.9934 eV per atom

---

[9]
First-principles (meta-GGA SCAN) data for Na2CoNiF7 at its PBEsol-relaxed geometry, as listed in Alexandria via LeMat-Bulk.

Structure (POSCAR):
```
Na2CoNiF7
1.0
7.0865 0.0842 -0.0175
-3.4536 6.1886 0.0175
-3.5742 -2.1184 5.7414
Ni F Co Na
2 14 2 4
direct
0.5000 0.0000 0.5000
0.5000 0.5000 0.0000
0.7308 0.8285 0.0977
0.1655 0.4155 0.2500
0.3608 0.4511 0.6686
0.7308 0.1331 0.4023
0.2175 0.8078 0.1686
0.6392 0.5489 0.3314
0.3608 0.1922 0.4097
0.6392 0.8078 0.5903
0.2175 0.5489 0.9097
0.2692 0.1715 0.9023
0.7825 0.4511 0.0903
0.8345 0.5845 0.7500
0.2692 0.8669 0.5977
0.7825 0.1922 0.8314
0.5000 0.5000 0.5000
0.0000 0.5000 0.0000
0.0000 0.0000 0.5000
0.0000 0.5000 0.5000
0.0000 0.0000 0.0000
0.5000 0.0000 0.0000
```

Properties
magnetic moment: 4.0 μB/cell
uncorrected energy: -8.6104 eV/atom
symmetry: No. 74
ρ: 3.89 Mg/m³
energy relative to the elements, uncorrected: -2.5479 eV per atom

---

[10]
First-principles (meta-GGA SCAN) data for Hf2Al at its PBEsol-relaxed geometry, as listed in Alexandria via LeMat-Bulk.

Structure (POSCAR):
```
Hf2Al
1.0
5.1735 0.0000 0.0000
2.5868 4.7807 0.0000
2.5868 0.0000 4.7807
Hf Al
4 2
direct
0.3491 0.8018 0.5000
0.1509 0.5000 0.1982
0.6509 0.1982 0.5000
0.8491 0.5000 0.8018
0.7500 0.0000 0.0000
0.2500 0.0000 0.0000
```

Properties
DOS at the Fermi energy: 1.044 states/eV/atom
ΔH_f (0 K): -25 kJ/mol of atoms
magnetic moment: 0.0 μB/cell
uncorrected energy: -44.6255 eV/atom
symmetry: No. 140
ρ: 10.78 Mg/m³

---

[11]
First-principles (meta-GGA SCAN) data for TaSbRh3 at its PBEsol-relaxed geometry, as listed in Alexandria via LeMat-Bulk.

Structure (POSCAR):
```
TaSbRh3
1.0
4.6797 0.0000 0.0000
0.0000 4.6797 0.0000
0.0000 0.0000 4.6797
Rh Sb Ta
3 1 1
direct
0.0000 0.0000 0.5000
0.5000 0.0000 0.0000
0.0000 0.5000 0.0000
0.5000 0.5000 0.5000
0.0000 0.0000 0.0000
```

Properties
DOS at the Fermi energy: 0.547 states/eV/atom
magnetic moment: 0.0 μB/cell
uncorrected energy: -40.2605 eV/atom
symmetry: No. 221
ρ: 9.91 Mg/m³
energy relative to the elements, uncorrected: 0.7712 eV per atom

---

[12]
First-principles (meta-GGA SCAN) data for LiCrFe2 at its PBEsol-relaxed geometry, as listed in Alexandria via LeMat-Bulk.

Structure (POSCAR):
```
LiCrFe2
1.0
2.5058 0.0000 0.0000
0.0000 3.4051 0.0000
0.0000 0.0000 5.0479
Cr Fe Li
1 2 1
direct
0.5000 0.5000 0.5000
0.0000 0.0000 0.7495
0.0000 0.0000 0.2505
0.5000 0.5000 0.0000
```

Properties
DOS at the Fermi energy: 0.585 states/eV/atom
ΔH_f (0 K): 29 kJ/mol of atoms
magnetic moment: 1.5 μB/cell
uncorrected energy: -13.9539 eV/atom
energy above the most stable polymorph in this dataset: 0 meV per atom
symmetry: No. 47
ρ: 6.58 Mg/m³